Entry from Alexandria via LeMat-Bulk: Ba2B6H4O13 at its PBEsol-relaxed geometry (SCAN).

Cell lengths 6.792, 8.717, 8.452 Å; angles 90.00, 100.80, 90.00 degrees
Space group P2_1 (No. 4)
One atom of each set of equivalent atoms:
Ba (0.192, 0.000, 0.285) [2 per cell]
Ba (0.247, 0.859, 0.764) [2 per cell]
B (0.073, 0.647, 0.056) [2 per cell]
B (0.091, 0.637, 0.365) [2 per cell]
B (0.141, 0.366, 0.055) [2 per cell]
B (0.353, 0.430, 0.408) [2 per cell]
B (0.371, 0.536, 0.963) [2 per cell]
B (0.457, 0.707, 0.452) [2 per cell]
H (0.196, 0.197, 0.613) [2 per cell]
H (0.329, 0.447, 0.738) [2 per cell]
H (0.374, 0.163, 0.008) [2 per cell]
H (0.437, 0.730, 0.205) [2 per cell]
O (0.008, 0.485, 0.033) [2 per cell]
O (0.037, 0.708, 0.205) [2 per cell]
O (0.061, 0.226, 0.083) [2 per cell]
O (0.090, 0.126, 0.562) [2 per cell]
O (0.158, 0.473, 0.359) [2 per cell]
O (0.248, 0.729, 0.466) [2 per cell]
O (0.269, 0.532, 0.792) [2 per cell]
O (0.285, 0.663, 0.040) [2 per cell]
O (0.339, 0.385, 0.044) [2 per cell]
O (0.407, 0.276, 0.408) [2 per cell]
O (0.411, 0.054, 0.017) [2 per cell]
O (0.489, 0.279, 0.693) [2 per cell]
O (0.498, 0.038, 0.548) [2 per cell]

Values from the calculation:
Total moment: 0.000 μB per atom
Raw total energy: -560.099 eV for the cell shown

Entry from Alexandria via LeMat-Bulk: MgTe2S at its PBEsol-relaxed geometry (SCAN).

Cell lengths 5.737, 5.737, 15.273 Å; angles 90.00, 90.00, 90.00 degrees
Space group I-42d (No. 122)
One atom of each set of equivalent atoms:
Mg (0.000, 0.000, 0.000) [4 per cell]
Te (0.211, 0.250, 0.625) [8 per cell]
S (0.000, 0.000, 0.500) [4 per cell]

Values from the calculation:
Total moment: 0.000 μB per atom
Raw total energy: -357.594 eV for the cell shown
Formation energy from raw total energies: -0.07 eV per atom

Entry from Alexandria via LeMat-Bulk: SrTm2O4 at its PBEsol-relaxed geometry (SCAN).

Cell lengths 9.901, 3.336, 11.690 Å; angles 90.00, 90.00, 90.00 degrees
Space group Pnma (No. 62)
One atom of each set of equivalent atoms:
Sr (0.247, 0.250, 0.150) [4 per cell]
Tm (0.076, 0.250, 0.388) [4 per cell]
Tm (0.077, 0.250, 0.890) [4 per cell]
O (0.016, 0.750, 0.783) [4 per cell]
O (0.074, 0.250, 0.577) [4 per cell]
O (0.124, 0.750, 0.020) [4 per cell]
O (0.211, 0.750, 0.328) [4 per cell]

Values from the calculation:
Total moment: 0.000 μB per atom
Raw total energy: -708.617 eV for the cell shown
Formation energy from raw total energies: -3.76 eV per atom

Entry from Alexandria via LeMat-Bulk: Tl2Cd at its PBEsol-relaxed geometry (SCAN).

Cell lengths 7.454, 7.454, 5.691 Å; angles 90.00, 90.00, 90.00 degrees
Space group I4/mcm (No. 140)
One atom of each set of equivalent atoms:
Tl (0.150, 0.350, 0.000) [8 per cell]
Cd (0.000, 0.000, 0.250) [4 per cell]

Values from the calculation:
Total moment: 0.000 μB per atom
Raw total energy: -700.103 eV for the cell shown
Polymorph energy (0 for the lowest one): 0.000 eV/atom
Formation enthalpy at 0 K: 0.8 kcal/mol of atoms

Entry from Alexandria via LeMat-Bulk: AlCdMo2 at its PBEsol-relaxed geometry (SCAN).

Cell lengths 5.427, 8.865, 2.728 Å; angles 90.00, 103.15, 90.00 degrees
Space group C2/m (No. 12)
One atom of each set of equivalent atoms:
Al (0.000, 0.000, 0.000) [2 per cell]
Cd (0.000, 0.500, 0.000) [2 per cell]
Mo (0.250, 0.250, 0.500) [4 per cell]

Values from the calculation:
Total moment: 0.000 μB per atom
Raw total energy: -214.410 eV for the cell shown
Polymorph energy (0 for the lowest one): 0.123 eV/atom
Formation enthalpy at 0 K: 4.2 kcal/mol of atoms

Entry from Alexandria via LeMat-Bulk: Ce2Al3GaPd4 at its PBEsol-relaxed geometry (SCAN).

Cell lengths 4.223, 4.223, 10.303 Å; angles 90.00, 90.00, 90.00 degrees
Space group P-4m2 (No. 115)
One atom of each set of equivalent atoms:
Ce (0.000, 0.500, 0.245) [2 per cell]
Al (0.000, 0.000, 0.000) [1 per cell]
Al (0.000, 0.500, 0.627) [2 per cell]
Ga (0.500, 0.500, 0.000) [1 per cell]
Pd (0.000, 0.000, 0.500) [1 per cell]
Pd (0.000, 0.500, 0.865) [2 per cell]
Pd (0.500, 0.500, 0.500) [1 per cell]

Values from the calculation:
Total moment: 0.209 μB per atom
Raw total energy: -269.114 eV for the cell shown
Formation enthalpy at 0 K: -21.4 kcal/mol of atoms

The lowest raw total energy belongs to which entry?
SrTm2O4